MnSeO3 (PBE+U, optimized geometry); crystal system = triclinic; uncorrected energy = -6.377 eV/atom; total magnetization = 1.000 μB/atom
1.0
4.496 0.000 0.000
-2.096 5.196 0.000
-0.637 -2.833 6.992
Mn Se O
2 2 6
Direct
0.119 0.224 0.386
0.881 0.776 0.614
0.261 0.553 0.824
0.739 0.447 0.176
0.063 0.358 0.153
0.084 0.205 0.670
0.368 0.678 0.640
0.632 0.322 0.360
0.916 0.795 0.330
0.937 0.642 0.847